<a>
## Pr4Nd7Ho (GGA-PBE)

Data for a geometry-optimized Pr4Nd7Ho structure.

Lattice parameters (Å, degrees): 7.393 9.781 9.213 81.17 90.05 40.96
Fractional coordinates of all 12 atoms:
1 Pr 0.528 0.720 0.330
2 Pr 0.472 0.280 0.670
3 Pr 0.278 0.222 0.332
4 Pr 0.722 0.778 0.668
5 Nd 0.781 0.218 0.331
6 Nd 0.500 0.000 0.000
7 Nd 0.252 0.500 0.000
8 Nd 0.748 0.500 0.000
9 Nd 0.968 0.279 0.671
10 Nd 0.219 0.782 0.669
11 Nd 0.032 0.721 0.329
12 Ho 0.000 0.000 0.000

***

<b>
## Pr4Nd7Ho (GGA-PBE)

Data for a geometry-optimized Pr4Nd7Ho structure.

Lattice parameters (Å, degrees): 6.123 9.921 8.841 60.11 69.74 72.03
Last column: magnetic moment on the atom in μB.
Fractional coordinates of all 12 atoms:
1 Pr 0.575 0.298 0.552  0.00
2 Pr 0.425 0.702 0.448  0.00
3 Pr 0.674 0.612 0.040  0.01
4 Pr 0.326 0.388 0.960  0.01
5 Nd 0.207 0.778 0.807  0.00
6 Nd 0.080 0.566 0.273  0.00
7 Nd 0.792 0.874 0.542  0.00
8 Nd 0.793 0.222 0.193  0.00
9 Nd 0.920 0.434 0.727  0.00
10 Nd 0.500 0.000 0.000  0.11
11 Nd 0.208 0.126 0.458  0.00
12 Ho 0.000 0.000 0.000  0.14

***

<a> (191 meV per atom below the next structure)